Record 1
# Ba2Zn4Ag3Sn (GGA-PBE, optimized geometry)
# Energy relative to the elements (eV per atom): -0.24
# Crystal system: tetragonal
# Volume (Å³ per atom): 24.47
# Density (g cm⁻³): 6.64
data_Ba2Zn4Ag3Sn
_chemical_formula_sum 'Ba2 Zn4 Ag3 Sn1'
_cell_length_a 4.6511
_cell_length_b 4.6511
_cell_length_c 11.3116
_cell_angle_alpha 90.00
_cell_angle_beta 90.00
_cell_angle_gamma 90.00
_space_group_name_H-M_alt 'P -4 m 2'
_space_group_IT_number 115
loop_
_space_group_symop_operation_xyz
'x,y,z'
'y,-x,-z'
'-x,-y,z'
'-y,x,-z'
'-x,y,z'
'-y,-x,-z'
'x,-y,z'
'y,x,-z'
loop_
_atom_site_label
_atom_site_type_symbol
_atom_site_fract_x
_atom_site_fract_y
_atom_site_fract_z
Ba1 Ba 0.0000 0.5000 0.2450
Zn1 Zn 0.0000 0.0000 0.0000
Zn2 Zn 0.0000 0.5000 0.6389
Zn3 Zn 0.5000 0.5000 0.0000
Ag1 Ag 0.0000 0.5000 0.8779
Ag2 Ag 0.5000 0.5000 0.5000
Sn1 Sn 0.0000 0.0000 0.5000



Record 2
# Y3Th4S8 (GGA-PBE, optimized geometry)
# ΔE_f (raw) (meV/atom): -1917
# Crystal system: monoclinic
# Volume (Å³ per atom): 23.71
# Density (g cm⁻³): 6.78
data_Y3Th4S8
_chemical_formula_sum 'Y6 Th8 S16'
_cell_length_a 11.2364
_cell_length_b 11.2451
_cell_length_c 7.9358
_cell_angle_alpha 90.00
_cell_angle_beta 134.81
_cell_angle_gamma 90.00
_space_group_name_H-M_alt 'C 1 2/m 1'
_space_group_IT_number 12
loop_
_space_group_symop_operation_xyz
'x,y,z'
'-x,-y,-z'
'-x,y,-z'
'x,-y,z'
'x+1/2,y+1/2,z'
'-x+1/2,-y+1/2,-z'
'-x+1/2,y+1/2,-z'
'x+1/2,-y+1/2,z'
loop_
_atom_site_label
_atom_site_type_symbol
_atom_site_fract_x
_atom_site_fract_y
_atom_site_fract_z
Y1 Y 0.0000 0.0000 0.0000
Y2 Y 0.2500 0.2500 0.0000
Th1 Th 0.0000 0.5000 0.0000
Th2 Th 0.0000 0.5000 0.5000
Th3 Th 0.2500 0.2500 0.5000
S1 S 0.0000 0.2431 0.5000
S2 S 0.0000 0.2457 0.0000
S3 S 0.2372 0.0000 0.4913
S4 S 0.2409 0.0000 0.9884



Record 3
# NaH5Pd (GGA-PBE, optimized geometry)
# Crystal system: orthorhombic
# Volume (Å³ per atom): 11.23
# Density (g cm⁻³): 2.84
data_NaH5Pd
_chemical_formula_sum 'Na2 H10 Pd2'
_cell_length_a 3.3775
_cell_length_b 6.0049
_cell_length_c 7.7551
_cell_angle_alpha 90.00
_cell_angle_beta 90.00
_cell_angle_gamma 90.00
_space_group_name_H-M_alt 'I m m m'
_space_group_IT_number 71
_space_group_name_Hall '-I 2 2'
loop_
_atom_site_label
_atom_site_type_symbol
_atom_site_fract_x
_atom_site_fract_y
_atom_site_fract_z
Na1 Na 0.0000 0.0000 0.0000
H1 H 0.0000 0.0000 0.2897
H2 H 0.0000 0.2712 0.5000
H3 H 0.0000 0.5000 0.0000
Pd1 Pd 0.0000 0.0000 0.5000



Record 4
# VBi2Te (GGA-PBE, optimized geometry)
# ΔE_f (raw) (meV/atom): 563
# Crystal system: tetragonal
# Volume (Å³ per atom): 38.13
# Density (g cm⁻³): 6.49
data_VBi2Te
_chemical_formula_sum 'V4 Bi8 Te4'
_cell_length_a 6.4409
_cell_length_b 6.4409
_cell_length_c 14.7061
_cell_angle_alpha 90.00
_cell_angle_beta 90.00
_cell_angle_gamma 90.00
_space_group_name_H-M_alt 'I -4 2 d'
_space_group_IT_number 122
_space_group_name_Hall 'I -4 2bw'
loop_
_atom_site_label
_atom_site_type_symbol
_atom_site_fract_x
_atom_site_fract_y
_atom_site_fract_z
V1 V 0.0000 0.0000 0.0000
Bi1 Bi 0.1944 0.2500 0.1250
Te1 Te 0.0000 0.0000 0.5000



Record 5
# BeFe2CuH (GGA-PBE, optimized geometry)
# Crystal system: tetragonal
# ΔE to the lowest computed polymorph (meV per atom): 7
# Volume (Å³ per atom): 9.13
# Density (g cm⁻³): 6.74
data_BeFe2CuH
_chemical_formula_sum 'Be1 Fe2 Cu1 H1'
_cell_length_a 3.5017
_cell_length_b 3.5017
_cell_length_c 3.7239
_cell_angle_alpha 90.00
_cell_angle_beta 90.00
_cell_angle_gamma 90.00
_space_group_name_H-M_alt 'P 4/m m m'
_space_group_IT_number 123
_space_group_name_Hall '-P 4 2'
loop_
_atom_site_label
_atom_site_type_symbol
_atom_site_fract_x
_atom_site_fract_y
_atom_site_fract_z
Be1 Be 0.0000 0.0000 0.0000
Fe1 Fe 0.0000 0.5000 0.5000
Cu1 Cu 0.5000 0.5000 0.0000
H1 H 0.0000 0.0000 0.5000



Record 6
# Ir2RuW (GGA-PBE, optimized geometry)
# Energy relative to the elements (eV per atom): -0.22
# Crystal system: tetragonal
# ΔE to the lowest computed polymorph (meV per atom): 43
# Volume (Å³ per atom): 14.67
# Density (g cm⁻³): 18.94
data_Ir2RuW
_chemical_formula_sum 'Ir4 Ru2 W2'
_cell_length_a 3.8820
_cell_length_b 3.8820
_cell_length_c 7.7896
_cell_angle_alpha 90.00
_cell_angle_beta 90.00
_cell_angle_gamma 90.00
_space_group_name_H-M_alt 'I 4/m m m'
_space_group_IT_number 139
_space_group_name_Hall '-I 4 2'
loop_
_atom_site_label
_atom_site_type_symbol
_atom_site_fract_x
_atom_site_fract_y
_atom_site_fract_z
Ir1 Ir 0.0000 0.5000 0.2500
Ru1 Ru 0.0000 0.0000 0.0000
W1 W 0.0000 0.0000 0.5000



Record 7
# ScTcPb2 (GGA-PBE, optimized geometry)
# Energy relative to the elements (eV per atom): 0.07
# Crystal system: tetragonal
# ΔE to the lowest computed polymorph (meV per atom): 0
# Volume (Å³ per atom): 23.02
# Density (g cm⁻³): 10.05
data_ScTcPb2
_chemical_formula_sum 'Sc1 Tc1 Pb2'
_cell_length_a 3.4792
_cell_length_b 3.4792
_cell_length_c 7.6070
_cell_angle_alpha 90.00
_cell_angle_beta 90.00
_cell_angle_gamma 90.00
_space_group_name_H-M_alt 'P 4 m m'
_space_group_IT_number 99
loop_
_space_group_symop_operation_xyz
'x,y,z'
'-y,x,z'
'-x,-y,z'
'y,-x,z'
'-x,y,z'
'y,x,z'
'x,-y,z'
'-y,-x,z'
loop_
_atom_site_label
_atom_site_type_symbol
_atom_site_fract_x
_atom_site_fract_y
_atom_site_fract_z
Sc1 Sc 0.0000 0.0000 0.0000
Tc1 Tc 0.5000 0.5000 0.1796
Pb1 Pb 0.0000 0.0000 0.3949
Pb2 Pb 0.5000 0.5000 0.7380



Record 8
# Li3Pm2Ge4 (GGA-PBE, optimized geometry)
# Energy relative to the elements (eV per atom): -0.50
# Crystal system: orthorhombic
# Volume (Å³ per atom): 19.33
# Density (g cm⁻³): 5.74
data_Li3Pm2Ge4
_chemical_formula_sum 'Li12 Pm8 Ge16'
_cell_length_a 5.9094
_cell_length_b 15.4559
_cell_length_c 7.6199
_cell_angle_alpha 90.00
_cell_angle_beta 90.00
_cell_angle_gamma 90.00
_space_group_name_H-M_alt 'C m c e'
_space_group_IT_number 64
_space_group_name_Hall '-C 2ac 2'
loop_
_atom_site_label
_atom_site_type_symbol
_atom_site_fract_x
_atom_site_fract_y
_atom_site_fract_z
Li1 Li 0.0000 0.0000 0.0000
Li2 Li 0.2500 0.2264 0.2500
Pm1 Pm 0.0000 0.1073 0.5958
Ge1 Ge 0.0000 0.1732 0.9881
Ge2 Ge 0.2500 0.0574 0.2500



Record 9
# Cr3Mo13 (GGA-PBE, optimized geometry)
# Energy relative to the elements (eV per atom): 0.05
# Crystal system: orthorhombic
# Volume (Å³ per atom): 15.16
# Density (g cm⁻³): 9.60
data_Cr3Mo13
_chemical_formula_sum 'Cr6 Mo26'
_cell_length_a 6.2395
_cell_length_b 8.8002
_cell_length_c 8.8372
_cell_angle_alpha 90.00
_cell_angle_beta 90.00
_cell_angle_gamma 90.00
_space_group_name_H-M_alt 'A m m 2'
_space_group_IT_number 38
loop_
_space_group_symop_operation_xyz
'x,y,z'
'-x,-y,z'
'-x,y,z'
'x,-y,z'
'x,y+1/2,z+1/2'
'-x,-y+1/2,z+1/2'
'-x,y+1/2,z+1/2'
'x,-y+1/2,z+1/2'
loop_
_atom_site_label
_atom_site_type_symbol
_atom_site_fract_x
_atom_site_fract_y
_atom_site_fract_z
Cr1 Cr 0.0000 0.0000 0.0000
Cr2 Cr 0.2478 0.0000 0.7532
Mo1 Mo 0.0000 0.0000 0.5064
Mo2 Mo 0.0000 0.2439 0.7531
Mo3 Mo 0.2476 0.0000 0.2498
Mo4 Mo 0.2477 0.2472 0.0016
Mo5 Mo 0.5000 0.0000 0.5064
Mo6 Mo 0.5000 0.0000 0.9975
Mo7 Mo 0.5000 0.2454 0.7519



Record 10
# K2OsAu (GGA-PBE, optimized geometry)
# Energy relative to the elements (eV per atom): 1.06
# Crystal system: tetragonal
# ΔE to the lowest computed polymorph (meV per atom): 365
# Volume (Å³ per atom): 22.86
# Density (g cm⁻³): 8.45
data_K2OsAu
_chemical_formula_sum 'K2 Os1 Au1'
_cell_length_a 4.1269
_cell_length_b 4.1269
_cell_length_c 5.3695
_cell_angle_alpha 90.00
_cell_angle_beta 90.00
_cell_angle_gamma 90.00
_space_group_name_H-M_alt 'P 4/m m m'
_space_group_IT_number 123
_space_group_name_Hall '-P 4 2'
loop_
_atom_site_label
_atom_site_type_symbol
_atom_site_fract_x
_atom_site_fract_y
_atom_site_fract_z
K1 K 0.0000 0.5000 0.0000
Os1 Os 0.0000 0.0000 0.5000
Au1 Au 0.5000 0.5000 0.5000



Record 11
# Pm3NdSmSc (GGA-PBE, optimized geometry)
# Energy relative to the elements (eV per atom): 0.04
# Crystal system: orthorhombic
# Volume (Å³ per atom): 32.60
# Density (g cm⁻³): 6.58
data_Pm3NdSmSc
_chemical_formula_sum 'Pm12 Nd4 Sm4 Sc4'
_cell_length_a 5.0540
_cell_length_b 15.2422
_cell_length_c 10.1573
_cell_angle_alpha 90.00
_cell_angle_beta 90.00
_cell_angle_gamma 90.00
_space_group_name_H-M_alt 'C m c m'
_space_group_IT_number 63
_space_group_name_Hall '-C 2c 2'
loop_
_atom_site_label
_atom_site_type_symbol
_atom_site_fract_x
_atom_site_fract_y
_atom_site_fract_z
Pm1 Pm 0.0000 0.1676 0.0012
Pm2 Pm 0.0000 0.3303 0.2500
Nd1 Nd 0.0000 0.0038 0.2500
Sm1 Sm 0.0000 0.5000 0.0000
Sc1 Sc 0.0000 0.3328 0.7500



Record 12
# Tb3PmIr4 (GGA-PBE, optimized geometry)
# Energy relative to the elements (eV per atom): -0.73
# Crystal system: orthorhombic
# Volume (Å³ per atom): 20.75
# Density (g cm⁻³): 13.91
data_Tb3PmIr4
_chemical_formula_sum 'Tb3 Pm1 Ir4'
_cell_length_a 3.3385
_cell_length_b 4.9846
_cell_length_c 9.9744
_cell_angle_alpha 90.00
_cell_angle_beta 90.00
_cell_angle_gamma 90.00
_space_group_name_H-M_alt 'P m m m'
_space_group_IT_number 47
loop_
_space_group_symop_operation_xyz
'x,y,z'
'-x,-y,-z'
'-x,-y,z'
'x,y,-z'
'x,-y,-z'
'-x,y,z'
'-x,y,-z'
'x,-y,z'
loop_
_atom_site_label
_atom_site_type_symbol
_atom_site_fract_x
_atom_site_fract_y
_atom_site_fract_z
Tb1 Tb 0.0000 0.0000 0.0000
Tb2 Tb 0.0000 0.5000 0.2479
Pm1 Pm 0.0000 0.0000 0.5000
Ir1 Ir 0.5000 0.0000 0.2448
Ir2 Ir 0.5000 0.5000 0.0000
Ir3 Ir 0.5000 0.5000 0.5000



Record 13
# SrY2Pb (GGA-PBE, optimized geometry)
# Energy relative to the elements (eV per atom): -0.18
# Crystal system: orthorhombic
# Volume (Å³ per atom): 34.22
# Density (g cm⁻³): 5.73
data_SrY2Pb
_chemical_formula_sum 'Sr1 Y2 Pb1'
_cell_length_a 3.8061
_cell_length_b 4.4771
_cell_length_c 8.0333
_cell_angle_alpha 90.00
_cell_angle_beta 90.00
_cell_angle_gamma 90.00
_space_group_name_H-M_alt 'P m m 2'
_space_group_IT_number 25
loop_
_space_group_symop_operation_xyz
'x,y,z'
'-x,-y,z'
'-x,y,z'
'x,-y,z'
loop_
_atom_site_label
_atom_site_type_symbol
_atom_site_fract_x
_atom_site_fract_y
_atom_site_fract_z
Sr1 Sr 0.0000 0.0000 0.0000
Y1 Y 0.0000 0.0000 0.5469
Y2 Y 0.5000 0.5000 0.3167
Pb1 Pb 0.5000 0.5000 0.7391



Record 14
# NpMnInRu (GGA-PBE, optimized geometry)
# Energy relative to the elements (eV per atom): 0.04
# Crystal system: cubic
# Volume (Å³ per atom): 17.83
# Density (g cm⁻³): 11.82
data_NpMnInRu
_chemical_formula_sum 'Np4 Mn4 In4 Ru4'
_cell_length_a 6.5831
_cell_length_b 6.5831
_cell_length_c 6.5831
_cell_angle_alpha 90.00
_cell_angle_beta 90.00
_cell_angle_gamma 90.00
_space_group_name_H-M_alt 'F -4 3 m'
_space_group_IT_number 216
_space_group_name_Hall 'F -4 2 3'
loop_
_atom_site_label
_atom_site_type_symbol
_atom_site_fract_x
_atom_site_fract_y
_atom_site_fract_z
Np1 Np 0.0000 0.0000 0.0000
Mn1 Mn 0.2500 0.2500 0.2500
In1 In 0.0000 0.0000 0.5000
Ru1 Ru 0.2500 0.2500 0.7500



Record 15
# Ce2GdTl (GGA-PBE, optimized geometry)
# Energy relative to the elements (eV per atom): -0.13
# Crystal system: tetragonal
# ΔE to the lowest computed polymorph (meV per atom): 0
# Volume (Å³ per atom): 28.22
# Density (g cm⁻³): 9.44
data_Ce2GdTl
_chemical_formula_sum 'Ce2 Gd1 Tl1'
_cell_length_a 4.6712
_cell_length_b 4.6712
_cell_length_c 5.1727
_cell_angle_alpha 90.00
_cell_angle_beta 90.00
_cell_angle_gamma 90.00
_space_group_name_H-M_alt 'P 4/m m m'
_space_group_IT_number 123
_space_group_name_Hall '-P 4 2'
loop_
_atom_site_label
_atom_site_type_symbol
_atom_site_fract_x
_atom_site_fract_y
_atom_site_fract_z
Ce1 Ce 0.0000 0.5000 0.0000
Gd1 Gd 0.0000 0.0000 0.5000
Tl1 Tl 0.5000 0.5000 0.5000



Record 16
# ZnTe2Pd9 (GGA-PBE, optimized geometry)
# ΔE_f (raw) (meV/atom): -240
# Crystal system: tetragonal
# Volume (Å³ per atom): 16.35
# Density (g cm⁻³): 10.82
data_ZnTe2Pd9
_chemical_formula_sum 'Zn1 Te2 Pd9'
_cell_length_a 4.0533
_cell_length_b 4.0533
_cell_length_c 11.9443
_cell_angle_alpha 90.00
_cell_angle_beta 90.00
_cell_angle_gamma 90.00
_space_group_name_H-M_alt 'P 4/m m m'
_space_group_IT_number 123
_space_group_name_Hall '-P 4 2'
loop_
_atom_site_label
_atom_site_type_symbol
_atom_site_fract_x
_atom_site_fract_y
_atom_site_fract_z
Zn1 Zn 0.0000 0.0000 0.0000
Te1 Te 0.0000 0.0000 0.3198
Pd1 Pd 0.0000 0.5000 0.1585
Pd2 Pd 0.0000 0.5000 0.5000
Pd3 Pd 0.5000 0.5000 0.0000
Pd4 Pd 0.5000 0.5000 0.3336



Record 17
# CrCdRe2 (GGA-PBE, optimized geometry)
# Energy relative to the elements (eV per atom): 0.62
# Crystal system: tetragonal
# Volume (Å³ per atom): 15.57
# Density (g cm⁻³): 14.31
data_CrCdRe2
_chemical_formula_sum 'Cr2 Cd2 Re4'
_cell_length_a 3.7983
_cell_length_b 3.7983
_cell_length_c 8.6363
_cell_angle_alpha 90.00
_cell_angle_beta 90.00
_cell_angle_gamma 90.00
_space_group_name_H-M_alt 'I 4/m m m'
_space_group_IT_number 139
_space_group_name_Hall '-I 4 2'
loop_
_atom_site_label
_atom_site_type_symbol
_atom_site_fract_x
_atom_site_fract_y
_atom_site_fract_z
Cr1 Cr 0.0000 0.0000 0.0000
Cd1 Cd 0.0000 0.0000 0.5000
Re1 Re 0.0000 0.5000 0.2500



Record 18
# KPtBr (GGA-PBE, optimized geometry)
# ΔE_f (raw) (meV/atom): -198
# Crystal system: hexagonal
# ΔE to the lowest computed polymorph (meV per atom): 473
# Volume (Å³ per atom): 42.86
# Density (g cm⁻³): 4.06
data_KPtBr
_chemical_formula_sum 'K2 Pt2 Br2'
_cell_length_a 5.5641
_cell_length_b 5.5641
_cell_length_c 9.5916
_cell_angle_alpha 90.00
_cell_angle_beta 90.00
_cell_angle_gamma 120.00
_space_group_name_H-M_alt 'P 63/m m c'
_space_group_IT_number 194
_space_group_name_Hall '-P 6c 2c'
loop_
_atom_site_label
_atom_site_type_symbol
_atom_site_fract_x
_atom_site_fract_y
_atom_site_fract_z
K1 K 0.3333 0.6667 0.2500
Pt1 Pt 0.0000 0.0000 0.0000
Br1 Br 0.0000 0.0000 0.2500



Record 19
# CoCuSn2 (GGA-PBE, optimized geometry)
# Energy relative to the elements (eV per atom): 0.24
# Crystal system: cubic
# ΔE to the lowest computed polymorph (meV per atom): 0
# Volume (Å³ per atom): 17.07
# Density (g cm⁻³): 8.75
data_CoCuSn2
_chemical_formula_sum 'Co4 Cu4 Sn8'
_cell_length_a 6.4878
_cell_length_b 6.4878
_cell_length_c 6.4878
_cell_angle_alpha 90.00
_cell_angle_beta 90.00
_cell_angle_gamma 90.00
_space_group_name_H-M_alt 'F m -3 m'
_space_group_IT_number 225
_space_group_name_Hall '-F 4 2 3'
loop_
_atom_site_label
_atom_site_type_symbol
_atom_site_fract_x
_atom_site_fract_y
_atom_site_fract_z
Co1 Co 0.0000 0.0000 0.0000
Cu1 Cu 0.0000 0.0000 0.5000
Sn1 Sn 0.2500 0.2500 0.2500



Record 20
# Ce2Be4CuPt3 (GGA-PBE, optimized geometry)
# Energy relative to the elements (eV per atom): -0.65
# Crystal system: tetragonal
# Volume (Å³ per atom): 15.63
# Density (g cm⁻³): 10.25
data_Ce2Be4CuPt3
_chemical_formula_sum 'Ce2 Be4 Cu1 Pt3'
_cell_length_a 4.0326
_cell_length_b 4.0326
_cell_length_c 9.6097
_cell_angle_alpha 90.00
_cell_angle_beta 90.00
_cell_angle_gamma 90.00
_space_group_name_H-M_alt 'P -4 m 2'
_space_group_IT_number 115
loop_
_space_group_symop_operation_xyz
'x,y,z'
'y,-x,-z'
'-x,-y,z'
'-y,x,-z'
'-x,y,z'
'-y,-x,-z'
'x,-y,z'
'y,x,-z'
loop_
_atom_site_label
_atom_site_type_symbol
_atom_site_fract_x
_atom_site_fract_y
_atom_site_fract_z
Ce1 Ce 0.0000 0.5000 0.2490
Be1 Be 0.0000 0.0000 0.0000
Be2 Be 0.0000 0.5000 0.6205
Be3 Be 0.5000 0.5000 0.0000
Cu1 Cu 0.0000 0.0000 0.5000
Pt1 Pt 0.0000 0.5000 0.8722
Pt2 Pt 0.5000 0.5000 0.5000



Total moment, record by record: 0.000, 0.000, 0.240, 12.231, 4.393, 0.000, 0.000, 0.000, 0.001, 1.370, 0.000, 0.000, 0.958, 4.095, 5.460, 0.000, 4.370, 0.000, 0.000, 1.671 μB/cell
Calculated total energy, record by record: -2.3930, -7.3893, -3.1941, -4.4428, -5.5598, -10.2110, -5.9543, -4.2442, -10.5591, -3.1181, -4.9746, -7.4890, -4.7619, -8.4917, -7.2065, -4.7646, -8.2427, -3.1350, -4.5629, -5.5448 eV per atom